Entry 1:
A relaxed structure of LiNiPdPt, computed with PBE-GGA.

Properties
**Calculated formation energy**: -0.219 eV/atom
**Density**: 11.423 g/cm³
**Crystal system**: cubic

a b c (Å): 4.2261 4.2261 4.2261
angles (deg): 60.00 60.00 60.00
Last column: magnetic moment on the atom in μB.
Sites, in units of the cell vectors:
Pt1 0.7500 0.7500 0.7500  0.32
Ni1 0.5000 0.5000 0.5000  0.90
Li1 0.0000 0.0000 0.0000  0.00
Pd1 0.2500 0.2500 0.2500  0.21

Entry 2:
A relaxed structure of LiPuNiPd, computed with PBE-GGA.

Properties
**Calculated formation energy**: -0.110 eV/atom
**Density**: 9.789 g/cm³
**Crystal system**: cubic

a b c (Å): 4.6386 4.6386 4.6386
angles (deg): 60.00 60.00 60.00
Last column: magnetic moment on the atom in μB.
Sites, in units of the cell vectors:
Li1 0.2500 0.2500 0.2500  0.02
Pd1 0.5000 0.5000 0.5000  -0.08
Ni1 0.0000 0.0000 0.0000  -0.31
Pu1 0.7500 0.7500 0.7500  5.05